Computed, not measured: a relaxed CrAgSnTe3 crystal at the GGA-PBE level of DFT.

Properties
Formation energy without anion corrections = -0.114 eV per atom
D(E_F) = 2.4 states/eV/cell
Total DFT energy (no corrections) = -4.431 eV per atom
Spin magnetization = 0.50 μB/atom

Geometry as CIF:
```
data_CrAgSnTe3
_chemical_formula_sum 'Cr2 Ag2 Sn2 Te6'
_cell_length_a 7.989
_cell_length_b 4.114
_cell_length_c 10.162
_cell_angle_alpha 90.00
_cell_angle_beta 108.74
_cell_angle_gamma 90.00
_space_group_name_H-M_alt 'P 1 21/m 1'
_space_group_IT_number 11
loop_
_space_group_symop_operation_xyz
'x,y,z'
'-x,-y,-z'
'-x,y+1/2,-z'
'x,-y+1/2,z'
loop_
_atom_site_label
_atom_site_type_symbol
_atom_site_fract_x
_atom_site_fract_y
_atom_site_fract_z
Cr1 Cr 0.188 0.250 0.157
Ag1 Ag 0.415 0.750 0.401
Sn1 Sn 0.254 0.750 0.704
Te1 Te 0.056 0.250 0.873
Te2 Te 0.193 0.250 0.453
Te3 Te 0.416 0.750 0.130
```


Computed, not measured: a relaxed V2CrAgSn crystal at the GGA-PBE level of DFT.

Properties
D(E_F) = 8.5 states/eV/cell
Total DFT energy (no corrections) = -5.510 eV per atom
Formation enthalpy at 0 K = 1.43 eV/atom
Spin magnetization = 1.91 μB/atom

Geometry as CIF:
```
data_V2CrAgSn
_chemical_formula_sum 'V2 Cr1 Ag1 Sn1'
_cell_length_a 4.892
_cell_length_b 4.892
_cell_length_c 4.897
_cell_angle_alpha 90.00
_cell_angle_beta 90.00
_cell_angle_gamma 90.00
_space_group_name_H-M_alt 'P 4/m m m'
_space_group_IT_number 123
_space_group_name_Hall '-P 4 2'
loop_
_atom_site_label
_atom_site_type_symbol
_atom_site_fract_x
_atom_site_fract_y
_atom_site_fract_z
V1 V 0.000 0.500 0.000
Cr1 Cr 0.000 0.000 0.500
Ag1 Ag 0.000 0.000 0.000
Sn1 Sn 0.500 0.500 0.500
```


Computed, not measured: a relaxed Sr2CrAg2 crystal at the GGA-PBE level of DFT.

Properties
D(E_F) = 5.8 states/eV/cell
Total DFT energy (no corrections) = -3.503 eV per atom
Relative energy among the computed polymorphs = 0.143 eV per atom
Formation enthalpy at 0 K = 0.23 eV/atom
Spin magnetization = 0.98 μB/atom

Geometry as CIF:
```
data_Sr2CrAg2
_chemical_formula_sum 'Sr4 Cr2 Ag4'
_cell_length_a 6.188
_cell_length_b 6.188
_cell_length_c 8.280
_cell_angle_alpha 90.00
_cell_angle_beta 90.00
_cell_angle_gamma 90.00
_space_group_name_H-M_alt 'I 4/m m m'
_space_group_IT_number 139
_space_group_name_Hall '-I 4 2'
loop_
_atom_site_label
_atom_site_type_symbol
_atom_site_fract_x
_atom_site_fract_y
_atom_site_fract_z
Sr1 Sr 0.000 0.500 0.250
Cr1 Cr 0.000 0.000 0.000
Ag1 Ag 0.000 0.000 0.337
```